Record 1
Ba12AlAu6 (PBE, relaxed); space-group type = Im-3, No. 204
1.0
-5.832 5.832 5.832
5.832 -5.832 5.832
5.832 5.832 -5.832
Ba Al Au
12 1 6
Cartesian
5.832 3.761 -2.323
3.509 0.000 2.070
8.154 0.000 2.070
2.070 3.509 0.000
3.761 -2.323 5.832
0.000 2.070 3.509
5.832 3.761 2.323
2.070 8.154 0.000
3.761 2.323 5.832
-2.323 5.832 3.761
2.323 5.832 3.761
0.000 2.070 8.154
0.000 0.000 0.000
5.832 1.474 0.000
5.832 0.000 4.358
4.358 5.832 0.000
1.474 0.000 5.832
0.000 5.832 1.474
0.000 4.358 5.832


Record 2
BaAlAu6 (PBE, relaxed); space-group type = R-3, No. 148
1.0
3.486 2.013 4.414
-3.486 2.013 4.414
0.000 -4.025 4.414
Ba Al Au
1 1 6
Cartesian
0.000 0.000 0.000
0.000 0.000 6.621
-2.085 -1.198 5.766
-0.005 -2.404 7.477
-2.080 1.207 7.477
2.080 -1.207 5.766
0.005 2.404 5.766
2.085 1.198 7.477


Record 3
BaAlAu2 (PBE, relaxed); space-group type = Cm, No. 8
1.0
3.916 -2.262 0.000
3.916 2.262 0.000
-2.647 0.000 6.067
Ba Al Au
1 1 2
Cartesian
0.000 0.000 0.000
-0.036 0.000 3.417
2.575 0.000 3.782
5.187 0.000 2.512


no.,energy of formation from the pure elements (meV/atom),total moment (μB/cell)
1,-447,0.004
2,-405,0.000
3,-540,0.000